{"formula": "V2AuO6", "functional": "GGA+U", "state": "optimized geometry", "cell": [[5.6078, -0.0019, -1.9387], [-3.7957, 7.1957, -1.9056], [-0.3351, -1.9680, 8.1136]], "species": ["O", "O", "O", "V", "O", "Au", "O", "V", "O", "O", "Au", "V", "V", "O", "O", "O", "O", "O"], "frac_coords": [[0.0292, 0.1828, 0.9057], [0.9405, 0.3167, 0.5945], [0.0595, 0.6833, 0.4055], [0.2591, 0.3220, 0.1784], [0.9708, 0.8172, 0.0943], [0.7500, 0.2498, 0.7502], [0.5292, 0.9057, 0.1828], [0.7409, 0.6780, 0.8216], [0.4708, 0.0943, 0.8172], [0.4743, 0.7395, 0.7595], [0.2500, 0.7502, 0.2498], [0.2409, 0.8216, 0.6780], [0.7591, 0.1784, 0.3220], [0.5595, 0.4055, 0.6833], [0.5257, 0.2605, 0.2405], [0.0257, 0.2405, 0.2605], [0.4405, 0.5945, 0.3167], [0.9743, 0.7595, 0.7395]], "e_tot_ev_per_atom": -6.642, "relative_energy_ev_per_atom": 0.004, "crystal_system": "monoclinic"}